1.
DFT (PBE) results for crystalline AlGaSbN2 at its relaxed geometry.

a = 3.9284 Å, b = 5.3521 Å, c = 3.9284 Å
α = 90.00°, β = 90.00°, γ = 90.00°
Positions (direct):
1 Sb 0.5000 0.5000 0.5000
2 Al 0.0000 0.5000 0.0000
3 Ga 0.0000 0.0000 0.0000
4 N 0.0000 0.0000 0.5000
5 N 0.5000 0.0000 0.0000

Calculated values
The calculation puts the uncorrected formation energy at 1.24 eV/atom. For the total magnetization, the calculation gives 0.89 μB/cell.

---

2.
DFT (PBE) results for crystalline MgNpHgI6 at its relaxed geometry.

a = 7.5174 Å, b = 7.5179 Å, c = 9.5960 Å
α = 90.00°, β = 89.99°, γ = 60.00°
Positions (direct):
1 Mg 0.3333 0.3333 0.5000
2 Np 0.6667 0.6668 0.5000
3 Hg 0.0000 0.9999 0.0000
4 I 0.0064 0.3499 0.3199
5 I 0.3498 0.0064 0.6801
6 I 0.6435 0.3501 0.6800
7 I 0.0063 0.6436 0.6801
8 I 0.3501 0.6435 0.3199
9 I 0.6436 0.0064 0.3199

Calculated values
The calculation puts the uncorrected formation energy at -0.76 eV/atom. For the total magnetization, the calculation gives 3.00 μB/cell.

---

3.
DFT (PBE) results for crystalline HgPRuO6 at its relaxed geometry.

a = 4.9695 Å, b = 4.9695 Å, c = 4.9995 Å
α = 90.00°, β = 90.00°, γ = 60.00°
Positions (direct):
1 Hg 0.0000 0.0000 0.0000
2 P 0.3333 0.3333 0.5000
3 Ru 0.6666 0.6667 0.5000
4 O 0.0359 0.3585 0.3024
5 O 0.3584 0.0359 0.6976
6 O 0.6056 0.3585 0.6976
7 O 0.0358 0.6057 0.6976
8 O 0.3584 0.6057 0.3024
9 O 0.6056 0.0359 0.3024

Calculated values
The calculation puts the uncorrected formation energy at -1.09 eV/atom. For the total magnetization, the calculation gives 2.78 μB/cell.

---

4.
DFT (PBE) results for crystalline CaHgHPb2 at its relaxed geometry.

a = 4.9965 Å, b = 4.9965 Å, c = 4.7213 Å
α = 90.00°, β = 90.00°, γ = 90.00°
Positions (direct):
1 Pb 0.0000 0.5000 0.0000
2 Pb 0.5000 0.0000 0.0000
3 H 0.0000 0.0000 0.0000
4 Ca 0.0000 0.0000 0.5000
5 Hg 0.5000 0.5000 0.5000

Calculated values
The total energy comes out at -2.7308 eV per atom. For the total magnetization, the calculation gives 0.00 μB/cell.